Entry from Alexandria: a geometry-optimized Ce2As4Rh5 structure (PBE).

Unit cell a=5.558 b=9.853 c=14.992 alpha=90.00 beta=90.00 gamma=90.00
Space group Fmmm (No. 69)
Unique sites:
Ce: 0.000 0.000 0.131 [8 per cell]
As: 0.000 0.157 0.371 [16 per cell]
Rh: 0.000 0.000 0.500 [4 per cell]
Rh: 0.250 0.250 0.000 [8 per cell]
Rh: 0.250 0.250 0.250 [8 per cell]

Energy of formation ... -69 kJ/mol of atoms
DFT total energy ... -6.82 eV per atom